RbYSe2O6 | PBE-GGA | optimized geometry

VASP energy ... -6.213 eV/atom
DOS at the Fermi energy ... 0.00 states/eV per cell
Density ... 3.80 g/cm3
Formation energy from raw total energies ... -18.0 eV per formula unit
ΔE to the lowest computed polymorph ... 0.0 meV/atom

Structure (POSCAR):
```
RbYSe2O6
1.0
14.0899 0.0000 0.0000
0.0000 5.8440 0.0000
0.0000 0.0000 9.0988
Rb Y Se O
4 4 8 24
Direct
0.1212 0.2500 0.0125 Rb
0.3788 0.7500 0.5125 Rb
0.6212 0.2500 0.4875 Rb
0.8788 0.7500 0.9875 Rb
0.1058 0.7500 0.6859 Y
0.3942 0.2500 0.1859 Y
0.6058 0.7500 0.8141 Y
0.8942 0.2500 0.3141 Y
0.0584 0.7500 0.2885 Se
0.2043 0.2500 0.4820 Se
0.2957 0.7500 0.9820 Se
0.4416 0.2500 0.7885 Se
0.5584 0.7500 0.2115 Se
0.7043 0.2500 0.0180 Se
0.7957 0.7500 0.5180 Se
0.9416 0.2500 0.7115 Se
0.0051 0.0205 0.7813 O
0.0051 0.4795 0.7813 O
0.0279 0.7500 0.4703 O
0.1818 0.7500 0.9098 O
0.2096 0.0192 0.5999 O
0.2096 0.4808 0.5999 O
0.2904 0.5192 0.0999 O
0.2904 0.9808 0.0999 O
0.3182 0.2500 0.4098 O
0.4721 0.2500 0.9703 O
0.4949 0.5205 0.2813 O
0.4949 0.9795 0.2813 O
0.5051 0.0205 0.7187 O
0.5051 0.4795 0.7187 O
0.5279 0.7500 0.0297 O
0.6818 0.7500 0.5902 O
0.7096 0.0192 0.9001 O
0.7096 0.4808 0.9001 O
0.7904 0.5192 0.4001 O
0.7904 0.9808 0.4001 O
0.8182 0.2500 0.0902 O
0.9721 0.2500 0.5297 O
0.9949 0.5205 0.2187 O
0.9949 0.9795 0.2187 O
```